No. 1
{
  "formula": "ThNbGa2",
  "functional": "PBE",
  "state": "optimized geometry",
  "crystal_system": "trigonal",
  "vol_a3_per_atom": 22.29,
  "total_energy_ev_per_atom": -6.1014,
  "e_above_lowest_polymorph_kj_per_mol_atoms": 6.07,
  "magnetic_moment_mub_per_cell": 0.0,
  "delta_e_f_ev_per_atom": -0.216,
  "cell": [[4.418, 0.000, 0.000], [2.209, 3.826, 0.000], [2.209, 1.275, 5.275]],
  "species": ["Nb", "Ga", "Ga", "Th"],
  "frac_coords": [[0.500, 0.500, 0.500], [0.777, 0.777, 0.670], [0.223, 0.223, 0.330], [0.000, 0.000, 0.000]]
}

---

No. 2
{
  "formula": "ThTiNbGa2",
  "functional": "PBE",
  "state": "optimized geometry",
  "crystal_system": "tetragonal",
  "vol_a3_per_atom": 20.57,
  "total_energy_ev_per_atom": -6.6838,
  "magnetic_moment_mub_per_cell": 0.0,
  "delta_e_f_ev_per_atom": -0.396,
  "cell": [[-1.042, 1.433, 3.676], [-3.942, -0.547, -0.904], [2.757, -6.167, 0.921]],
  "species": ["Th", "Ti", "Nb", "Ga", "Ga"],
  "frac_coords": [[0.000, 0.000, 0.000], [0.250, 0.750, 0.500], [0.750, 0.250, 0.500], [0.604, 0.604, 0.207], [0.396, 0.396, 0.793]]
}

---

No. 3
{
  "formula": "TiNb2Ga2",
  "functional": "PBE",
  "state": "optimized geometry",
  "crystal_system": "tetragonal",
  "vol_a3_per_atom": 17.86,
  "total_energy_ev_per_atom": -6.8277,
  "e_above_lowest_polymorph_kj_per_mol_atoms": 35.78,
  "magnetic_moment_mub_per_cell": 0.0,
  "delta_e_f_ev_per_atom": -0.010,
  "cell": [[7.953, 0.000, 0.000], [0.000, 7.953, 0.000], [0.000, 0.000, 2.824]],
  "species": ["Nb", "Nb", "Nb", "Nb", "Ga", "Ga", "Ga", "Ga", "Ti", "Ti"],
  "frac_coords": [[0.380, 0.880, 0.000], [0.880, 0.620, 0.000], [0.620, 0.120, 0.000], [0.120, 0.380, 0.000], [0.177, 0.677, 0.500], [0.677, 0.823, 0.500], [0.823, 0.323, 0.500], [0.323, 0.177, 0.500], [0.000, 0.000, 0.000], [0.500, 0.500, 0.000]]
}

---

No. 4
{
  "formula": "TiNb8Ga5",
  "functional": "PBE",
  "state": "optimized geometry",
  "crystal_system": "tetragonal",
  "vol_a3_per_atom": 17.69,
  "total_energy_ev_per_atom": -7.5031,
  "magnetic_moment_mub_per_cell": 0.0,
  "delta_e_f_ev_per_atom": -0.104,
  "cell": [[6.853, -0.004, 0.008], [-2.323, 6.447, -0.008], [-2.207, -3.262, 5.608]],
  "species": ["Ti", "Nb", "Nb", "Nb", "Nb", "Nb", "Nb", "Nb", "Nb", "Ga", "Ga", "Ga", "Ga", "Ga"],
  "frac_coords": [[0.250, 0.500, 0.750], [0.133, 0.757, 0.034], [0.966, 0.098, 0.723], [0.759, 0.245, 0.358], [0.642, 0.401, 0.887], [0.486, 0.599, 0.241], [0.624, 0.902, 0.867], [0.277, 0.243, 0.376], [0.113, 0.755, 0.514], [0.011, 0.377, 0.135], [0.865, 0.876, 0.242], [0.758, 0.623, 0.633], [0.500, 0.000, 0.500], [0.367, 0.124, 0.989]]
}

---

No. 5
{
  "formula": "Ti2NbGa2",
  "functional": "PBE",
  "state": "optimized geometry",
  "crystal_system": "orthorhombic",
  "vol_a3_per_atom": 16.48,
  "total_energy_ev_per_atom": -6.6965,
  "e_above_lowest_polymorph_kj_per_mol_atoms": 6.46,
  "magnetic_moment_mub_per_cell": 0.0,
  "delta_e_f_ev_per_atom": -0.314,
  "cell": [[-0.169, -3.712, -2.400], [3.855, 2.000, -3.365], [4.907, -0.882, 5.097]],
  "species": ["Ti", "Ti", "Ti", "Ti", "Nb", "Nb", "Ga", "Ga", "Ga", "Ga"],
  "frac_coords": [[0.991, 0.826, 0.982], [0.808, 0.320, 0.616], [0.192, 0.820, 0.384], [0.009, 0.326, 0.018], [0.397, 0.082, 0.793], [0.603, 0.582, 0.207], [0.398, 0.575, 0.797], [0.796, 0.831, 0.592], [0.204, 0.331, 0.408], [0.602, 0.075, 0.203]]
}

---

No. 6
{
  "formula": "Ti6NbGa5",
  "functional": "PBE",
  "state": "optimized geometry",
  "crystal_system": "orthorhombic",
  "vol_a3_per_atom": 16.10,
  "total_energy_ev_per_atom": -6.4492,
  "magnetic_moment_mub_per_cell": 0.0,
  "delta_e_f_ev_per_atom": -0.401,
  "cell": [[4.392, 0.004, -1.351], [-0.662, 5.604, -2.135], [0.036, -0.222, 7.929]],
  "species": ["Nb", "Ga", "Ga", "Ga", "Ga", "Ga", "Ti", "Ti", "Ti", "Ti", "Ti", "Ti"],
  "frac_coords": [[0.000, 0.000, 0.000], [0.347, 0.847, 0.694], [0.668, 0.668, 0.335], [0.000, 0.500, 0.000], [0.332, 0.332, 0.665], [0.653, 0.153, 0.306], [0.170, 0.424, 0.340], [0.170, 0.917, 0.340], [0.500, 0.264, 0.000], [0.500, 0.736, 0.000], [0.830, 0.083, 0.660], [0.830, 0.576, 0.660]]
}

---

What is the formula in the second record? ThTiNbGa2